A geometry-optimized RbCoPO4 structure. Source: OQMD, functional PBE with a Hubbard U.

The structure belongs to space group I4/mcm (No. 140); the cell edges are 7.051, 7.051 and 10.221 Å and the angles 90.00°, 90.00° and 90.00°. The asymmetric unit holds Rb at (0.000, 0.000, 0.250), Co at (0.000, 0.500, 0.000), P at (0.000, 0.500, 0.250) and O at (0.123, 0.377, 0.155).

As for the uncorrected energy: -6.350 eV per atom.